{
  "formula": "GaMoN2F",
  "functional": "PBE with a Hubbard U",
  "state": "relaxed",
  "space_group": "P4/mmm, No. 123",
  "magnetic_moment_mub_per_fu": 0.0,
  "total_energy_ev_per_atom": -5.7604,
  "lattice_angstrom": [[-2.5126, -1.2777, 2.8790], [-1.2936, -2.9393, -2.4334], [3.0463, -2.5901, 1.5091]],
  "species": ["Mo", "N", "N", "Ga", "F"],
  "frac_coords": [[0.0000, 0.0000, 0.0000], [0.0000, 0.5000, 0.0000], [0.5000, 0.0000, 0.0000], [0.5000, 0.5000, 0.5000], [0.0000, 0.0000, 0.5000]]
}